DFT (PBE) results for a relaxed BaTbSn2 crystal.

Computed properties:
- Raw total energy: -4.27 eV/atom
- Polymorph energy (0 for the lowest one): 0.00 eV per formula unit
- M_tot: 0.00 μB/f.u.

extended XYZ file:
```
4
Lattice="4.129 0.000 0.000 0.000 4.129 0.000 0.000 0.000 7.591" Properties=species:S:1:pos:R:3 pbc="T T T"
Ba 0.000 0.000 0.000
Tb 0.000 0.000 3.796
Sn 2.065 2.065 2.295
Sn 2.065 2.065 5.297
```


DFT (PBE) results for a relaxed BaTcSn3 crystal.

Computed properties:
- Raw total energy: -4.96 eV/atom
- Polymorph energy (0 for the lowest one): 0.00 eV per formula unit
- M_tot: 0.00 μB/f.u.

extended XYZ file:
```
5
Lattice="5.274 0.000 0.000 0.000 5.274 0.000 0.000 0.000 5.274" Properties=species:S:1:pos:R:3 pbc="T T T"
Ba 0.000 0.000 0.000
Tc 2.637 2.637 2.637
Sn 0.000 2.637 2.637
Sn 2.637 0.000 2.637
Sn 2.637 2.637 0.000
```


DFT (PBE) results for a relaxed BaTcSn3 crystal.

Computed properties:
- Raw total energy: -2.68 eV/atom
- Polymorph energy (0 for the lowest one): 11.42 eV per formula unit
- M_tot: 0.00 μB/f.u.

extended XYZ file:
```
5
Lattice="5.911 0.000 0.000 0.000 5.911 0.000 0.000 0.000 5.911" Properties=species:S:1:pos:R:3 pbc="T T T"
Ba 0.000 0.000 0.000
Tc 2.955 2.955 2.955
Sn 0.000 0.000 2.955
Sn 0.000 2.955 0.000
Sn 2.955 0.000 0.000
```


DFT (PBE) results for a relaxed BaTc2Sn2 crystal.

Computed properties:
- Raw total energy: -6.11 eV/atom
- Polymorph energy (0 for the lowest one): 0.00 eV per formula unit
- M_tot: 0.00 μB/f.u.

extended XYZ file:
```
5
Lattice="-2.470 2.470 5.055 2.470 -2.470 5.055 2.470 2.470 -5.055" Properties=species:S:1:pos:R:3 pbc="T T T"
Ba 0.000 0.000 0.000
Tc 0.000 0.000 3.944
Tc 0.000 0.000 6.167
Sn 2.470 0.000 2.528
Sn 0.000 2.470 2.528
```


DFT (PBE) results for a relaxed BaTc2Sn2 crystal.

Computed properties:
- Raw total energy: -5.83 eV/atom
- Polymorph energy (0 for the lowest one): 1.42 eV per formula unit
- M_tot: 0.00 μB/f.u.

extended XYZ file:
```
10
Lattice="8.426 0.000 0.000 0.000 8.426 0.000 0.000 0.000 3.083" Properties=species:S:1:pos:R:3 pbc="T T T"
Ba 0.000 0.000 0.000
Ba 4.213 4.213 0.000
Tc 1.203 3.010 1.542
Tc 3.010 7.223 1.542
Tc 5.416 1.203 1.542
Tc 7.223 5.416 1.542
Sn 1.186 5.399 0.000
Sn 3.027 1.186 0.000
Sn 5.399 7.240 0.000
Sn 7.240 3.027 0.000
```


DFT (PBE) results for a relaxed BaTcSn2 crystal.

Computed properties:
- Raw total energy: -4.98 eV/atom
- Polymorph energy (0 for the lowest one): 0.00 eV per formula unit
- M_tot: 0.00 μB/f.u.

extended XYZ file:
```
8
Lattice="-2.994 2.994 8.303 2.994 -2.994 8.303 2.994 2.994 -8.303" Properties=species:S:1:pos:R:3 pbc="T T T"
Ba 2.994 1.497 2.076
Ba 0.000 1.497 6.227
Tc 2.994 -1.497 6.227
Tc 0.000 4.492 2.076
Sn 0.000 0.000 0.000
Sn 1.497 1.497 -4.151
Sn 1.497 -1.497 4.151
Sn 0.000 2.994 0.000
```


DFT (PBE) results for a relaxed BaTcSn2 crystal.

Computed properties:
- Raw total energy: -4.74 eV/atom
- Polymorph energy (0 for the lowest one): 0.95 eV per formula unit
- M_tot: 0.47 μB/f.u.

extended XYZ file:
```
4
Lattice="0.000 3.685 3.685 3.685 0.000 3.685 3.685 3.685 0.000" Properties=species:S:1:pos:R:3 pbc="T T T"
Ba 0.000 0.000 0.000
Tc 3.685 3.685 3.685
Sn 1.843 1.843 1.843
Sn 5.528 5.528 5.528
```


DFT (PBE) results for a relaxed BaTcSnTe2 crystal.

Computed properties:
- Raw total energy: -4.31 eV/atom
- ΔE_f (raw): 0.204 eV per atom
- M_tot: 3.39 μB/f.u.

extended XYZ file:
```
5
Lattice="5.965 0.000 0.000 0.000 5.965 0.000 0.000 0.000 5.154" Properties=species:S:1:pos:R:3 pbc="T T T"
Ba 0.000 0.000 0.000
Tc 2.983 2.983 0.000
Sn 2.983 2.983 2.577
Te 0.000 2.983 2.577
Te 2.983 0.000 2.577
```